(1)
First-principles (GGA-PBE) data for SrAgIrS3 after structural relaxation, as listed in OQMD.

Properties
For the total energy, the calculation gives -4.87 eV per atom.

a = 6.650 Å, b = 6.650 Å, c = 9.618 Å
α = 90.00°, β = 90.00°, γ = 145.84°
Positions (direct):
Sr 0.245 0.755 0.750
Sr 0.755 0.245 0.250
Ag 0.455 0.545 0.250
Ag 0.545 0.455 0.750
Ir 0.000 0.000 0.000
Ir 0.000 0.000 0.500
S 0.079 0.921 0.250
S 0.377 0.623 0.019
S 0.377 0.623 0.481
S 0.623 0.377 0.519
S 0.623 0.377 0.981
S 0.921 0.079 0.750



(2)
First-principles (GGA-PBE) data for Li2LaIn2Ag2Au after structural relaxation, as listed in OQMD.

Properties
For the total energy, the calculation gives -3.16 eV per atom.

a = 4.887 Å, b = 4.887 Å, c = 7.094 Å
α = 90.00°, β = 90.00°, γ = 90.00°
Positions (direct):
Li 0.000 0.500 0.187
Li 0.500 0.000 0.813
La 0.000 0.000 0.500
In 0.000 0.000 0.000
In 0.500 0.500 0.500
Ag 0.000 0.500 0.773
Ag 0.500 0.000 0.227
Au 0.500 0.500 0.000



(3)
First-principles (GGA-PBE) data for CsRbZnSn after structural relaxation, as listed in OQMD.

Properties
The value obtained for the relative energy among the computed polymorphs is 0.31 kJ per mole of atoms.

a = 7.008 Å, b = 7.225 Å, c = 7.225 Å
α = 109.91°, β = 90.00°, γ = 90.00°
Positions (direct):
Cs 0.000 0.167 0.833
Cs 0.000 0.833 0.167
Rb 0.500 0.155 0.487
Rb 0.500 0.487 0.155
Zn 0.250 0.659 0.659
Zn 0.750 0.659 0.659
Sn 0.000 0.424 0.424
Sn 0.500 0.895 0.895



(4)
First-principles (GGA-PBE) data for NaRe after structural relaxation, as listed in OQMD.

Properties
The value obtained for the relative energy among the computed polymorphs is 259.05 kJ per mole of atoms.

a = 4.749 Å, b = 4.749 Å, c = 4.749 Å
α = 60.00°, β = 60.00°, γ = 60.00°
Positions (direct):
Na 0.000 0.000 0.000
Re 0.750 0.750 0.750



(5)
First-principles (GGA-PBE) data for LiHoHgSe3 after structural relaxation, as listed in OQMD.

Properties
The value obtained for the relative energy among the computed polymorphs is 0.00 kJ per mole of atoms.

a = 11.031 Å, b = 4.125 Å, c = 13.219 Å
α = 90.00°, β = 90.00°, γ = 90.00°
Positions (direct):
Li 0.151 0.250 0.076
Li 0.349 0.750 0.576
Li 0.651 0.250 0.424
Li 0.849 0.750 0.924
Ho 0.113 0.250 0.760
Ho 0.387 0.750 0.260
Ho 0.613 0.250 0.740
Ho 0.887 0.750 0.240
Hg 0.134 0.250 0.388
Hg 0.366 0.750 0.888
Hg 0.634 0.250 0.112
Hg 0.866 0.750 0.612
Se 0.096 0.750 0.610
Se 0.138 0.750 0.918
Se 0.139 0.750 0.206
Se 0.361 0.250 0.706
Se 0.362 0.250 0.418
Se 0.404 0.250 0.110
Se 0.596 0.750 0.890
Se 0.638 0.750 0.582
Se 0.639 0.750 0.294
Se 0.861 0.250 0.794
Se 0.862 0.250 0.082
Se 0.904 0.250 0.390



(6)
First-principles (GGA-PBE) data for GdHoCo2Sn after structural relaxation, as listed in OQMD.

Properties
For the total energy, the calculation gives -5.91 eV per atom.

a = 3.839 Å, b = 7.163 Å, c = 7.163 Å
α = 30.91°, β = 90.00°, γ = 90.00°
Positions (direct):
Gd 0.000 0.000 0.000
Ho 0.000 0.725 0.725
Co 0.500 0.160 0.160
Co 0.500 0.567 0.567
Sn 0.500 0.361 0.361



(7)
First-principles (GGA-PBE) data for Ge2OsAu after structural relaxation, as listed in OQMD.

Properties
For the total energy, the calculation gives -5.30 eV per atom.

a = 4.575 Å, b = 4.575 Å, c = 4.575 Å
α = 60.00°, β = 60.00°, γ = 60.00°
Positions (direct):
Ge 0.000 0.000 0.000
Ge 0.250 0.250 0.250
Os 0.500 0.500 0.500
Au 0.750 0.750 0.750



(8)
First-principles (GGA-PBE) data for KHf4SnC2 after structural relaxation, as listed in OQMD.

Properties
For the total energy, the calculation gives -8.36 eV per atom.

a = 3.337 Å, b = 3.337 Å, c = 16.664 Å
α = 90.00°, β = 90.00°, γ = 120.00°
Positions (direct):
K 0.000 0.000 0.000
Hf 0.000 0.000 0.355
Hf 0.000 0.000 0.645
Hf 0.333 0.667 0.209
Hf 0.333 0.667 0.791
Sn 0.333 0.667 0.500
C 0.667 0.333 0.281
C 0.667 0.333 0.719



(9)
First-principles (GGA-PBE) data for LiCdAg2 after structural relaxation, as listed in OQMD.

Properties
For the total energy, the calculation gives -2.31 eV per atom.

a = 10.059 Å, b = 4.787 Å, c = 5.890 Å
α = 90.00°, β = 90.00°, γ = 90.00°
Positions (direct):
Li 0.090 0.250 0.249
Li 0.410 0.750 0.749
Li 0.590 0.250 0.251
Li 0.910 0.750 0.751
Cd 0.085 0.250 0.749
Cd 0.415 0.750 0.249
Cd 0.585 0.250 0.751
Cd 0.915 0.750 0.251
Ag 0.163 0.750 0.999
Ag 0.164 0.750 0.500
Ag 0.336 0.250 0.000
Ag 0.337 0.250 0.499
Ag 0.663 0.750 0.501
Ag 0.664 0.750 0.000
Ag 0.836 0.250 0.500
Ag 0.837 0.250 0.001



(10)
First-principles (GGA-PBE) data for Nd2Ga2Co15 after structural relaxation, as listed in OQMD.

Properties
For the total energy, the calculation gives -6.51 eV per atom.

a = 6.362 Å, b = 6.362 Å, c = 6.362 Å
α = 83.04°, β = 83.04°, γ = 83.04°
Positions (direct):
Nd 0.149 0.149 0.149
Nd 0.851 0.851 0.851
Ga 0.394 0.394 0.394
Ga 0.606 0.606 0.606
Co 0.000 0.500 0.500
Co 0.152 0.152 0.649
Co 0.152 0.649 0.152
Co 0.214 0.500 0.786
Co 0.214 0.786 0.500
Co 0.351 0.848 0.848
Co 0.500 0.000 0.500
Co 0.500 0.214 0.786
Co 0.500 0.500 0.000
Co 0.500 0.786 0.214
Co 0.649 0.152 0.152
Co 0.786 0.214 0.500
Co 0.786 0.500 0.214
Co 0.848 0.351 0.848
Co 0.848 0.848 0.351



(11)
First-principles (GGA-PBE) data for Cu7Ag3 after structural relaxation, as listed in OQMD.

Properties
The formation energy from the elements comes out at 9.4 kJ/mol of atoms. The value obtained for the relative energy among the computed polymorphs is 5.13 kJ per mole of atoms.

a = 4.640 Å, b = 2.732 Å, c = 11.002 Å
α = 90.00°, β = 97.43°, γ = 90.00°
Positions (direct):
Cu 0.000 0.000 0.000
Cu 0.083 0.500 0.806
Cu 0.300 0.500 0.407
Cu 0.617 0.000 0.793
Cu 0.700 0.500 0.599
Cu 0.803 0.000 0.405
Cu 0.902 0.500 0.207
Ag 0.198 0.000 0.607
Ag 0.397 0.000 0.209
Ag 0.505 0.500 0.992



(12)
First-principles (GGA-PBE) data for HfTePO after structural relaxation, as listed in OQMD.

Properties
The value obtained for the relative energy among the computed polymorphs is 4.40 kJ per mole of atoms.

a = 3.395 Å, b = 8.354 Å, c = 6.385 Å
α = 90.00°, β = 90.00°, γ = 90.00°
Positions (direct):
Hf 0.000 0.223 0.000
Hf 0.000 0.777 0.500
Te 0.500 0.254 0.583
Te 0.500 0.746 0.083
P 0.000 0.078 0.370
P 0.000 0.922 0.870
O 0.500 0.330 0.064
O 0.500 0.670 0.564



(13)
First-principles (GGA-PBE) data for BaYHf after structural relaxation, as listed in OQMD.

Properties
The value obtained for the relative energy among the computed polymorphs is 0.00 kJ per mole of atoms.

a = 5.522 Å, b = 5.522 Å, c = 5.522 Å
α = 60.00°, β = 60.00°, γ = 60.00°
Positions (direct):
Ba 0.000 0.000 0.000
Y 0.250 0.250 0.250
Hf 0.500 0.500 0.500



(14)
First-principles (GGA-PBE) data for Li2AlZn3Pt2 after structural relaxation, as listed in OQMD.

Properties
For the total energy, the calculation gives -3.57 eV per atom.

a = 4.302 Å, b = 4.302 Å, c = 6.092 Å
α = 90.00°, β = 90.00°, γ = 90.00°
Positions (direct):
Li 0.000 0.500 0.240
Li 0.500 0.000 0.760
Al 0.000 0.000 0.500
Zn 0.000 0.000 0.000
Zn 0.500 0.500 0.000
Zn 0.500 0.500 0.500
Pt 0.000 0.500 0.740
Pt 0.500 0.000 0.260



(15)
First-principles (GGA-PBE) data for ZrTe2As2Os after structural relaxation, as listed in OQMD.

Properties
For the total energy, the calculation gives -6.14 eV per atom.

a = 7.227 Å, b = 7.227 Å, c = 7.227 Å
α = 150.02°, β = 134.88°, γ = 55.12°
Positions (direct):
Zr 0.000 0.000 0.000
Te 0.179 0.679 0.500
Te 0.610 0.110 0.500
As 0.106 0.368 0.738
As 0.630 0.368 0.262
Os 0.772 0.772 0.000



(16)
First-principles (GGA-PBE) data for PmNbAsO after structural relaxation, as listed in OQMD.

Properties
The value obtained for the relative energy among the computed polymorphs is 48.28 kJ per mole of atoms.

a = 4.587 Å, b = 6.218 Å, c = 6.040 Å
α = 90.00°, β = 90.00°, γ = 90.00°
Positions (direct):
Pm 0.000 0.232 0.000
Pm 0.000 0.768 0.500
Nb 0.500 0.389 0.609
Nb 0.500 0.611 0.109
As 0.000 0.244 0.496
As 0.000 0.756 0.996
O 0.500 0.324 0.938
O 0.500 0.676 0.438



(17)
First-principles (GGA-PBE) data for BaCoGe after structural relaxation, as listed in OQMD.

Properties
For the total energy, the calculation gives -3.42 eV per atom.

a = 5.002 Å, b = 5.002 Å, c = 5.002 Å
α = 60.00°, β = 60.00°, γ = 60.00°
Positions (direct):
Ba 0.000 0.000 0.000
Co 0.750 0.750 0.750
Ge 0.250 0.250 0.250



(18)
First-principles (GGA-PBE) data for NaLi2TaS4 after structural relaxation, as listed in OQMD.

Properties
For the total energy, the calculation gives -5.36 eV per atom.

a = 6.044 Å, b = 6.044 Å, c = 6.810 Å
α = 90.00°, β = 90.00°, γ = 90.00°
Positions (direct):
Na 0.000 0.000 0.000
Li 0.000 0.500 0.500
Li 0.500 0.000 0.500
Ta 0.000 0.000 0.500
S 0.221 0.221 0.312
S 0.221 0.779 0.688
S 0.779 0.221 0.688
S 0.779 0.779 0.312



(19)
First-principles (GGA-PBE) data for GdErAg2Pb2 after structural relaxation, as listed in OQMD.

Properties
For the total energy, the calculation gives -4.12 eV per atom.

a = 4.814 Å, b = 4.814 Å, c = 7.460 Å
α = 90.00°, β = 90.00°, γ = 120.00°
Positions (direct):
Gd 0.000 0.000 0.000
Er 0.000 0.000 0.501
Ag 0.333 0.667 0.682
Ag 0.667 0.333 0.186
Pb 0.333 0.667 0.281
Pb 0.667 0.333 0.778



(20)
First-principles (GGA-PBE) data for YInFeOs after structural relaxation, as listed in OQMD.

Properties
The value obtained for the relative energy among the computed polymorphs is 0.00 kJ per mole of atoms.

a = 4.647 Å, b = 4.647 Å, c = 4.647 Å
α = 60.00°, β = 60.00°, γ = 60.00°
Positions (direct):
Y 0.000 0.000 0.000
In 0.500 0.500 0.500
Fe 0.750 0.750 0.750
Os 0.250 0.250 0.250



(21)
First-principles (GGA-PBE) data for DyHoNi after structural relaxation, as listed in OQMD.

Properties
The formation energy from the elements comes out at -16.1 kJ/mol of atoms. The value obtained for the relative energy among the computed polymorphs is 0.00 kJ per mole of atoms.

a = 4.739 Å, b = 4.739 Å, c = 4.739 Å
α = 60.00°, β = 60.00°, γ = 60.00°
Positions (direct):
Dy 0.000 0.000 0.000
Ho 0.500 0.500 0.500
Ni 0.250 0.250 0.250



(22)
First-principles (GGA-PBE) data for GdCo3 after structural relaxation, as listed in OQMD.

Properties
The formation energy from the elements comes out at 24.4 kJ/mol of atoms. The value obtained for the relative energy among the computed polymorphs is 32.21 kJ per mole of atoms.

a = 4.357 Å, b = 4.357 Å, c = 4.357 Å
α = 60.00°, β = 60.00°, γ = 60.00°
Positions (direct):
Gd 0.000 0.000 0.000
Co 0.250 0.250 0.250
Co 0.500 0.500 0.500
Co 0.750 0.750 0.750



(23)
First-principles (GGA-PBE) data for KCuIrSe3 after structural relaxation, as listed in OQMD.

Properties
The value obtained for the relative energy among the computed polymorphs is 3.77 kJ per mole of atoms.

a = 7.553 Å, b = 7.553 Å, c = 9.787 Å
α = 90.00°, β = 90.00°, γ = 150.73°
Positions (direct):
K 0.242 0.758 0.750
K 0.758 0.242 0.250
Cu 0.462 0.538 0.250
Cu 0.538 0.462 0.750
Ir 0.000 0.000 0.000
Ir 0.000 0.000 0.500
Se 0.066 0.934 0.250
Se 0.387 0.613 0.035
Se 0.387 0.613 0.465
Se 0.613 0.387 0.535
Se 0.613 0.387 0.965
Se 0.934 0.066 0.750



(24)
First-principles (GGA-PBE) data for BaAgO3 after structural relaxation, as listed in OQMD.

Properties
For the total energy, the calculation gives -4.92 eV per atom.

a = 5.849 Å, b = 8.362 Å, c = 5.892 Å
α = 90.00°, β = 90.00°, γ = 90.00°
Positions (direct):
Ba 0.015 0.250 0.002
Ba 0.485 0.750 0.502
Ba 0.515 0.250 0.498
Ba 0.985 0.750 0.998
Ag 0.000 0.000 0.500
Ag 0.000 0.500 0.500
Ag 0.500 0.000 0.000
Ag 0.500 0.500 0.000
O 0.006 0.250 0.541
O 0.227 0.523 0.772
O 0.227 0.977 0.772
O 0.273 0.023 0.272
O 0.273 0.477 0.272
O 0.494 0.750 0.041
O 0.506 0.250 0.959
O 0.727 0.523 0.728
O 0.727 0.977 0.728
O 0.773 0.023 0.228
O 0.773 0.477 0.228
O 0.994 0.750 0.459



Values for mass density, g/cm3, ordered as above
6.7 7.8 3.9 4.6 6.7 9.2 13.1 9.3 7.8 8.6 9.2 6.5 5.6 9.2 8.6 6.3 5.0 2.3 10.6 10.5 8.5 9.5 6.5 6.8